Below is Ti2Be2Ir at its PBEsol-relaxed geometry, with properties calculated at the meta-GGA SCAN level.

Calculated values
Energy of formation from the pure elements (eV/f.u.): -3.4
Final energy (eV per atom): -23.04

```
Ti2Be2Ir
1.0
3.153 0.000 0.000
0.000 6.186 0.000
0.000 0.000 6.186
Be Ir Ti
4 2 4
direct
0.000 0.878 0.622 Be
0.000 0.378 0.878 Be
0.000 0.622 0.122 Be
0.000 0.122 0.378 Be
0.000 0.000 0.000 Ir
0.000 0.500 0.500 Ir
0.500 0.825 0.325 Ti
0.500 0.175 0.675 Ti
0.500 0.675 0.825 Ti
0.500 0.325 0.175 Ti
```

=====

Below is CaTl2Pb at its PBEsol-relaxed geometry, with properties calculated at the meta-GGA SCAN level.

Calculated values
Energy of formation from the pure elements (eV/f.u.): -1.2
Final energy (eV per atom): -57.83

```
CaTl2Pb
1.0
3.542 -0.009 0.000
-0.354 5.714 0.000
0.000 0.000 5.645
Tl Ca Pb
2 1 1
direct
0.264 0.245 0.000 Tl
0.736 0.755 0.000 Tl
0.000 0.500 0.500 Ca
0.500 0.000 0.500 Pb
```

=====

Below is KLiBC2 at its PBEsol-relaxed geometry, with properties calculated at the meta-GGA SCAN level.

Calculated values
Energy of formation from the pure elements (eV/f.u.): 8.9
Final energy (eV per atom): -5.88

```
KLiBC2
1.0
-2.250 -1.620 2.022
1.918 -2.842 -0.142
2.412 1.436 3.835
K C Li B
1 2 1 1
direct
0.000 0.000 0.500 K
0.500 0.000 0.000 C
0.000 0.500 0.000 C
0.500 0.500 0.500 Li
0.000 0.000 0.000 B
```

=====

Below is TbPPd at its PBEsol-relaxed geometry, with properties calculated at the meta-GGA SCAN level.

Calculated values
Energy of formation from the pure elements (eV/f.u.): -4.1
Final energy (eV per atom): -31.36

```
TbPPd
1.0
-1.991 -3.358 0.815
4.712 -3.614 -3.376
4.015 -0.810 6.470
Pd Tb P
4 4 4
direct
0.750 0.146 0.061 Pd
0.250 0.354 0.561 Pd
0.750 0.646 0.439 Pd
0.250 0.854 0.939 Pd
0.750 0.026 0.687 Tb
0.250 0.474 0.187 Tb
0.250 0.974 0.313 Tb
0.750 0.526 0.813 Tb
0.750 0.756 0.121 P
0.750 0.256 0.379 P
0.250 0.744 0.621 P
0.250 0.244 0.879 P
```

=====

Below is HgOs2Ru at its PBEsol-relaxed geometry, with properties calculated at the meta-GGA SCAN level.

Calculated values
Energy of formation from the pure elements (eV/f.u.): 2.0
Final energy (eV per atom): -61.18

```
HgOs2Ru
1.0
-1.589 0.064 -2.249
1.011 -0.828 -2.424
-3.017 -8.834 0.195
Ru Hg Os
1 1 2
direct
0.500 0.500 0.500 Ru
0.000 0.000 0.000 Hg
0.243 0.243 0.271 Os
0.757 0.757 0.729 Os
```

=====

Below is K2TeS3 at its PBEsol-relaxed geometry, with properties calculated at the meta-GGA SCAN level.

Calculated values
Final energy (eV per atom): -14.68
Raw formation energy (eV/atom): -0.8818

```
K2TeS3
1.0
6.302 0.000 0.034
0.000 8.881 0.000
-0.160 0.000 13.192
S Te K
12 4 8
direct
0.252 0.665 0.717 S
0.243 0.164 0.062 S
0.172 0.628 0.084 S
0.328 0.128 0.416 S
0.828 0.372 0.916 S
0.752 0.835 0.217 S
0.672 0.872 0.584 S
0.757 0.836 0.938 S
0.743 0.336 0.562 S
0.748 0.335 0.283 S
0.257 0.664 0.438 S
0.248 0.165 0.783 S
0.199 0.330 0.923 Te
0.801 0.670 0.077 Te
0.699 0.170 0.423 Te
0.301 0.830 0.577 Te
0.250 0.385 0.254 K
0.750 0.615 0.746 K
0.745 0.130 0.084 K
0.755 0.630 0.416 K
0.750 0.115 0.754 K
0.250 0.885 0.246 K
0.245 0.370 0.584 K
0.255 0.870 0.916 K
```

=====

Below is SrZnTc at its PBEsol-relaxed geometry, with properties calculated at the meta-GGA SCAN level.

Calculated values
Energy of formation from the pure elements (eV/f.u.): 2.6
Final energy (eV per atom): -22.76

```
SrZnTc
1.0
-0.214 3.781 2.678
-3.968 2.378 0.342
-2.425 -0.092 3.953
Zn Sr Tc
1 1 1
direct
0.250 0.250 0.250 Zn
0.000 0.000 0.000 Sr
0.500 0.500 0.500 Tc
```

=====

Below is YTcOs2 at its PBEsol-relaxed geometry, with properties calculated at the meta-GGA SCAN level.

Calculated values
Energy of formation from the pure elements (eV/f.u.): 1.4
Final energy (eV per atom): -51.33

```
YTcOs2
1.0
2.872 0.000 0.000
0.000 4.826 -0.010
0.000 -1.325 4.641
Tc Os Y
1 2 1
direct
0.500 0.000 0.000 Tc
0.000 0.000 0.500 Os
0.000 0.500 0.000 Os
0.500 0.500 0.500 Y
```

=====

Below is Sb2PbSeI at its PBEsol-relaxed geometry, with properties calculated at the meta-GGA SCAN level.

Calculated values
Final energy (eV per atom): -40.89
Raw formation energy (eV/atom): 0.5370

```
Sb2PbSeI
1.0
-2.561 -0.418 4.765
-2.936 -4.129 -1.941
3.797 -3.515 1.733
I Sb Se Pb
1 2 1 1
direct
0.000 0.000 0.500 I
0.500 0.000 0.000 Sb
0.000 0.500 0.000 Sb
0.000 0.000 0.000 Se
0.500 0.500 0.500 Pb
```

=====

Below is ReTc at its PBEsol-relaxed geometry, with properties calculated at the meta-GGA SCAN level.

Calculated values
Energy of formation from the pure elements (eV/f.u.): 0.0
Final energy (eV per atom): -53.08

```
ReTc
1.0
-2.231 -1.467 -0.594
1.292 -0.266 -4.200
2.365 -3.994 0.981
Tc Re
2 2
direct
0.500 0.250 0.167 Tc
0.500 0.750 0.833 Tc
0.000 0.250 0.666 Re
0.000 0.750 0.334 Re
```

=====

Below is YPbBr2 at its PBEsol-relaxed geometry, with properties calculated at the meta-GGA SCAN level.

Calculated values
Final energy (eV per atom): -36.61
Raw formation energy (eV/atom): -0.9704

```
YPbBr2
1.0
3.780 0.000 -0.005
0.000 4.958 0.000
-0.119 0.000 5.856
Br Y Pb
2 1 1
direct
0.804 0.000 0.739 Br
0.196 0.000 0.261 Br
0.000 0.500 0.500 Y
0.500 0.500 0.000 Pb
```

=====

Below is LiSb3 at its PBEsol-relaxed geometry, with properties calculated at the meta-GGA SCAN level.

Calculated values
Final energy (eV per atom): -28.63
Raw formation energy (eV/atom): -0.0913

```
LiSb3
1.0
4.378 0.000 0.000
0.000 4.438 0.000
2.189 2.219 5.264
Sb Li
3 1
direct
0.500 0.498 0.000 Sb
0.261 0.591 0.478 Sb
0.739 0.070 0.522 Sb
0.000 0.008 0.000 Li
```

=====

Below is MnZnTe2Pb at its PBEsol-relaxed geometry, with properties calculated at the meta-GGA SCAN level.

Calculated values
Final energy (eV per atom): -36.14
Raw formation energy (eV/atom): 0.2680

```
MnZnTe2Pb
1.0
5.069 0.000 0.000
0.000 5.069 0.000
0.000 0.000 5.248
Te Pb Mn Zn
2 1 1 1
direct
0.000 0.500 0.000 Te
0.500 0.000 0.000 Te
0.000 0.000 0.500 Pb
0.000 0.000 0.000 Mn
0.500 0.500 0.500 Zn
```

=====

Below is BaTc2Os at its PBEsol-relaxed geometry, with properties calculated at the meta-GGA SCAN level.

Calculated values
Energy of formation from the pure elements (eV/f.u.): 6.3
Final energy (eV per atom): -43.81

```
BaTc2Os
1.0
2.982 0.000 0.000
0.000 4.842 0.000
0.000 0.000 4.842
Ba Tc Os
1 2 1
direct
0.500 0.500 0.500 Ba
0.000 0.500 0.000 Tc
0.000 0.000 0.500 Tc
0.500 0.000 0.000 Os
```

=====

Below is Zr2ScBr at its PBEsol-relaxed geometry, with properties calculated at the meta-GGA SCAN level.

Calculated values
Final energy (eV per atom): -23.72
Raw formation energy (eV/atom): 0.0495

```
Zr2ScBr
1.0
3.305 0.000 0.000
0.000 4.067 0.000
0.000 0.000 6.309
Zr Br Sc
2 1 1
direct
0.000 0.000 0.251 Zr
0.000 0.000 0.749 Zr
0.500 0.500 0.000 Br
0.500 0.500 0.500 Sc
```

=====

Below is Al3Ag4 at its PBEsol-relaxed geometry, with properties calculated at the meta-GGA SCAN level.

Calculated values
Energy of formation from the pure elements (eV/f.u.): -0.3
Final energy (eV per atom): -21.29

```
Al3Ag4
1.0
2.905 0.000 0.000
1.453 2.516 0.000
1.453 0.839 15.646
Ag Al
4 3
direct
0.142 0.142 0.574 Ag
0.858 0.858 0.426 Ag
0.426 0.426 0.722 Ag
0.574 0.574 0.278 Ag
0.286 0.286 0.141 Al
0.000 0.000 0.000 Al
0.714 0.714 0.859 Al
```

=====

Below is LaMoSeCl2 at its PBEsol-relaxed geometry, with properties calculated at the meta-GGA SCAN level.

Calculated values
Final energy (eV per atom): -22.70
Raw formation energy (eV/atom): 0.1067

```
LaMoSeCl2
1.0
-3.814 -2.244 -1.474
2.923 -2.693 -3.467
0.817 -3.759 3.608
Cl Se La Mo
2 1 1 1
direct
0.000 0.000 0.500 Cl
0.000 0.500 0.000 Cl
0.000 0.000 0.000 Se
0.500 0.500 0.500 La
0.500 0.000 0.000 Mo
```

=====

Below is Ba3Tb at its PBEsol-relaxed geometry, with properties calculated at the meta-GGA SCAN level.

Calculated values
Energy of formation from the pure elements (eV/f.u.): 1.2
Final energy (eV per atom): -41.06

```
Ba3Tb
1.0
5.731 0.000 0.000
0.000 5.731 0.000
-2.865 -2.865 5.681
Tb Ba
1 3
direct
0.000 0.000 0.000 Tb
0.500 0.500 0.000 Ba
0.250 0.750 0.500 Ba
0.750 0.250 0.500 Ba
```

=====

Below is KNi3Au at its PBEsol-relaxed geometry, with properties calculated at the meta-GGA SCAN level.

Calculated values
Energy of formation from the pure elements (eV/f.u.): 10.4
Final energy (eV per atom): -23.11

```
KNi3Au
1.0
4.299 0.000 0.000
0.000 4.299 0.000
0.000 0.000 4.299
Ni K Au
3 1 1
direct
0.000 0.500 0.000 Ni
0.000 0.000 0.500 Ni
0.500 0.000 0.000 Ni
0.000 0.000 0.000 K
0.500 0.500 0.500 Au
```

=====

Below is AlSiN3 at its PBEsol-relaxed geometry, with properties calculated at the meta-GGA SCAN level.

Calculated values
Final energy (eV per atom): -7.97
Raw formation energy (eV/atom): 1.1537

```
AlSiN3
1.0
3.721 0.000 0.000
0.000 3.721 0.000
0.000 0.000 3.721
N Si Al
3 1 1
direct
0.000 0.000 0.500 N
0.000 0.500 0.000 N
0.500 0.000 0.000 N
0.500 0.500 0.500 Si
0.000 0.000 0.000 Al
```